1.
## LiTb2BPd6 (PBE)

Data for a relaxed LiTb2BPd6 crystal.

For the formation energy, the calculation gives -61.0 kJ per mole of atoms. For the calculated density, the calculation gives 9.331 g cm⁻³.

The structure belongs to space group C2/m (No. 12); the cell edges are 9.934, 5.723 and 6.937 Å and the angles 90.00°, 118.47° and 90.00°. Symmetry generates all atoms from Li at (0.000, 0.000, 0.000), Tb at (0.223, 0.500, 0.168), B at (0.000, 0.500, 0.500), Pd at (0.019, 0.245, 0.299) and Pd at (0.236, 0.500, 0.702).

***

2.
## Zr2NbHPb (PBE)

Data for a relaxed Zr2NbHPb crystal.

Its uncorrected energy is -7.0776 eV per atom. For the calculated density, the calculation gives 9.147 g cm⁻³.

The structure belongs to space group P4/mmm (No. 123); the cell edges are 4.695, 4.695 and 3.982 Å and the angles 90.00°, 90.00° and 90.00°. Symmetry generates all atoms from Zr at (0.000, 0.500, 0.000), Nb at (0.000, 0.000, 0.500), H at (0.000, 0.000, 0.000) and Pb at (0.500, 0.500, 0.500).

***

3.
## LiAcGe2Os (PBE)

Data for a relaxed LiAcGe2Os crystal.

For the formation energy, the calculation gives -38.1 kJ per mole of atoms. For the calculated density, the calculation gives 9.244 g cm⁻³.

The structure belongs to space group I-4m2 (No. 119); the cell edges are 4.336, 4.336 and 10.880 Å and the angles 90.00°, 90.00° and 90.00°. Symmetry generates all atoms from Li at (0.000, 0.000, 0.000), Ac at (0.000, 0.500, 0.750), Ge at (0.000, 0.500, 0.113) and Os at (0.000, 0.000, 0.500).

***

4.
## Er2MgPb (PBE)

Data for a relaxed Er2MgPb crystal.

For the formation energy, the calculation gives -27.9 kJ per mole of atoms. For the calculated density, the calculation gives 8.866 g cm⁻³.

The structure belongs to space group P4/mmm (No. 123); the cell edges are 4.862, 4.862 and 4.484 Å and the angles 90.00°, 90.00° and 90.00°. Symmetry generates all atoms from Er at (0.000, 0.500, 0.000), Mg at (0.000, 0.000, 0.500) and Pb at (0.500, 0.500, 0.500).

***

5.
## BaLi2Te (PBE)

Data for a relaxed BaLi2Te crystal.

The calculation puts the formation energy without anion corrections at -2.4 eV per formula unit. For the calculated density, the calculation gives 3.477 g cm⁻³.

The structure belongs to space group P4/mmm (No. 123); the cell edges are 4.854, 4.854 and 5.651 Å and the angles 90.00°, 90.00° and 90.00°. Symmetry generates all atoms from Ba at (0.000, 0.000, 0.000), Li at (0.000, 0.500, 0.500) and Te at (0.500, 0.500, 0.000).

***

6.
## Er2Sc2Bi2C (PBE)

Data for a relaxed Er2Sc2Bi2C crystal.

For the formation energy, the calculation gives -70.3 kJ per mole of atoms. For the calculated density, the calculation gives 8.596 g cm⁻³.

The structure belongs to space group I4/mmm (No. 139); the cell edges are 4.569, 4.569 and 15.815 Å and the angles 90.00°, 90.00° and 90.00°. Symmetry generates all atoms from Er at (0.000, 0.000, 0.154), Sc at (0.000, 0.500, 0.000), Bi at (0.000, 0.000, 0.358) and C at (0.000, 0.000, 0.000).

***

7.
## Tb5DyCd3 (PBE)

Data for a relaxed Tb5DyCd3 crystal.

For the formation energy, the calculation gives -18.0 kJ per mole of atoms. For the calculated density, the calculation gives 8.414 g cm⁻³.

The structure belongs to space group P6_3/mcm (No. 193); the cell edges are 9.2096, 9.2096 and 6.9549 Å and the angles 90.00°, 90.00° and 120.00°. Symmetry generates all atoms from Tb at (0.0000, 0.3333, 0.2500), Tb at (0.3333, 0.6667, 0.0000), Dy at (0.0000, 0.0000, 0.0000) and Cd at (0.0000, 0.3329, 0.7500).

***

8.
## LiTa2 (PBE)

Data for a relaxed LiTa2 crystal.

The offset from the most stable computed form is 0.102 eV per atom. For the formation energy, the calculation gives 35.8 kJ per mole of atoms. For the calculated density, the calculation gives 11.456 g cm⁻³.

The structure belongs to space group Cm (No. 8); the cell edges are 11.201, 2.746 and 7.265 Å and the angles 90.00°, 106.83° and 90.00°. Symmetry generates all atoms from Li at (0.000, 0.000, 0.000), Li at (0.144, 0.500, 0.315), Ta at (0.057, 0.000, 0.623), Ta at (0.237, 0.500, 0.946), Ta at (0.327, 0.000, 0.652) and Ta at (0.371, 0.000, 0.293).

***

9.
## Sc3Co3Si2 (PBE)

Data for a relaxed Sc3Co3Si2 crystal.

The offset from the most stable computed form is 0.000 eV per atom. The calculation puts the formation energy without anion corrections at -5.0 eV per formula unit. For the calculated density, the calculation gives 5.036 g cm⁻³.

The structure belongs to space group Cmcm (No. 63); the cell edges are 3.990, 9.711 and 12.523 Å and the angles 90.00°, 90.00° and 90.00°. Symmetry generates all atoms from Sc at (0.000, 0.080, 0.110), Sc at (0.000, 0.358, 0.250), Co at (0.000, 0.348, 0.750), Co at (0.000, 0.391, 0.042) and Si at (0.000, 0.216, 0.592).

***

10.
## AsOsCl2 (PBE)

Data for a relaxed AsOsCl2 crystal.

The offset from the most stable computed form is 0.745 eV per atom. The calculation puts the formation energy without anion corrections at 2.7 eV per formula unit. For the calculated density, the calculation gives 5.304 g cm⁻³.

The structure belongs to space group R-3m (No. 166, hexagonal axes); the cell edges are 3.4855, 3.4855 and 29.9988 Å and the angles 90.00°, 90.00° and 120.00°. Symmetry generates all atoms from As at (0.0000, 0.0000, 0.0000), Os at (0.0000, 0.0000, 0.5000) and Cl at (0.0000, 0.0000, 0.1246).

***

11.
## TiCu2Te8 (PBE)

Data for a relaxed TiCu2Te8 crystal.

The calculation puts the formation energy without anion corrections at -1.3 eV per formula unit. For the calculated density, the calculation gives 5.587 g cm⁻³.

The structure belongs to space group C2/m (No. 12); the cell edges are 14.485, 7.951 and 6.339 Å and the angles 90.00°, 103.18° and 90.00°. Symmetry generates all atoms from Ti at (0.000, 0.000, 0.000), Cu at (0.193, 0.000, 0.093), Te at (0.093, 0.000, 0.672), Te at (0.120, 0.256, 0.236) and Te at (0.135, 0.500, 0.913).

***

12.
## KPRu (PBE)

Data for a relaxed KPRu crystal.

For the formation energy, the calculation gives -19.1 kJ per mole of atoms. For the calculated density, the calculation gives 3.941 g cm⁻³.

The structure belongs to space group P3m1 (No. 156); the cell edges are 3.7896, 3.7896 and 5.7987 Å and the angles 90.00°, 90.00° and 120.00°. Symmetry generates all atoms from K at (0.0000, 0.0000, 0.0000), P at (0.6667, 0.3333, 0.4349) and Ru at (0.3333, 0.6667, 0.5098).

***

13.
## Tb6Dy2Cd (PBE)

Data for a relaxed Tb6Dy2Cd crystal.

The offset from the most stable computed form is 0.000 eV per atom. For the formation energy, the calculation gives -3.5 kJ per mole of atoms. For the calculated density, the calculation gives 8.379 g cm⁻³.

The structure belongs to space group C2/c (No. 15); the cell edges are 20.971, 6.191 and 9.027 Å and the angles 90.00°, 109.82° and 90.00°. Symmetry generates all atoms from Tb at (0.053, 0.174, 0.135), Tb at (0.109, 0.348, 0.526), Tb at (0.162, 0.166, 0.914), Dy at (0.223, 0.334, 0.305) and Cd at (0.000, 0.331, 0.750).

***

14.
## LiPm3Sn5 (PBE)

Data for a relaxed LiPm3Sn5 crystal.

For the formation energy, the calculation gives -51.9 kJ per mole of atoms. For the calculated density, the calculation gives 7.167 g cm⁻³.

The structure belongs to space group P6_3/mcm (No. 193); the cell edges are 9.3757, 9.3757 and 6.3026 Å and the angles 90.00°, 90.00° and 120.00°. Symmetry generates all atoms from Li at (0.0000, 0.0000, 0.0000), Pm at (0.0000, 0.3802, 0.2500), Sn at (0.0000, 0.2714, 0.7500) and Sn at (0.3333, 0.6667, 0.0000).

***

15.
## ZrTiSb2 (PBE)

Data for a relaxed ZrTiSb2 crystal.

The offset from the most stable computed form is 0.000 eV per atom. The calculation puts the formation energy without anion corrections at -1.9 eV per formula unit. For the calculated density, the calculation gives 6.810 g cm⁻³.

The structure belongs to space group C2/m (No. 12); the cell edges are 14.068, 3.865 and 7.048 Å and the angles 90.00°, 103.14° and 90.00°. Symmetry generates all atoms from Zr at (0.118, 0.000, 0.107), Ti at (0.150, 0.500, 0.487), Sb at (0.026, 0.500, 0.782) and Sb at (0.221, 0.000, 0.764).

***

16.
## CaTc (PBE)

Data for a relaxed CaTc crystal.

The offset from the most stable computed form is 0.670 eV per atom. For the formation energy, the calculation gives 85.2 kJ per mole of atoms. For the calculated density, the calculation gives 5.800 g cm⁻³.

The structure belongs to space group R-3m (No. 166, hexagonal axes); the cell edges are 3.0296, 3.0296 and 14.9191 Å and the angles 90.00°, 90.00° and 120.00°. Symmetry generates all atoms from Ca at (0.0000, 0.0000, 0.0000) and Tc at (0.0000, 0.0000, 0.5000).

***

17.
## Y3Tm4Al4 (PBE)

Data for a relaxed Y3Tm4Al4 crystal.

For the formation energy, the calculation gives -19.4 kJ per mole of atoms. For the calculated density, the calculation gives 6.058 g cm⁻³.

The structure belongs to space group Immm (No. 71); the cell edges are 5.099, 6.712 and 16.828 Å and the angles 90.00°, 90.00° and 90.00°. Symmetry generates all atoms from Y at (0.000, 0.000, 0.000), Y at (0.000, 0.500, 0.101), Tm at (0.000, 0.265, 0.320), Al at (0.000, 0.000, 0.175) and Al at (0.000, 0.203, 0.500).

***

18.
## TaAlFe2 (PBE)

Data for a relaxed TaAlFe2 crystal.

For the formation energy, the calculation gives -35.9 kJ per mole of atoms. For the calculated density, the calculation gives 10.245 g cm⁻³.

The structure belongs to space group P4/mmm (No. 123); the cell edges are 4.137, 4.137 and 3.026 Å and the angles 90.00°, 90.00° and 90.00°. Symmetry generates all atoms from Ta at (0.000, 0.000, 0.000), Al at (0.500, 0.500, 0.000) and Fe at (0.000, 0.500, 0.500).

***

19.
## Dy2YSb (PBE)

Data for a relaxed Dy2YSb crystal.

The offset from the most stable computed form is 0.086 eV per atom. The calculation puts the formation energy without anion corrections at -1.9 eV per formula unit. For the calculated density, the calculation gives 7.717 g cm⁻³.

The structure belongs to space group P4/mmm (No. 123); the cell edges are 4.095, 4.095 and 6.872 Å and the angles 90.00°, 90.00° and 90.00°. Symmetry generates all atoms from Dy at (0.000, 0.000, 0.230), Y at (0.500, 0.500, 0.500) and Sb at (0.500, 0.500, 0.000).

***

20.
## Cs3Y2ZrTe6 (PBE)

Data for a relaxed Cs3Y2ZrTe6 crystal.

The calculation puts the formation energy without anion corrections at -14.7 eV per formula unit. For the calculated density, the calculation gives 5.157 g cm⁻³.

The structure belongs to space group C2/m (No. 12); the cell edges are 7.722, 13.376 and 9.302 Å and the angles 90.00°, 106.08° and 90.00°. Symmetry generates all atoms from Cs at (0.000, 0.000, 0.000), Cs at (0.000, 0.330, 0.000), Y at (0.000, 0.166, 0.500), Zr at (0.000, 0.500, 0.500), Te at (0.224, 0.339, 0.688) and Te at (0.242, 0.000, 0.690).

***

21.
## La2Zn4HgPt3 (PBE)

Data for a relaxed La2Zn4HgPt3 crystal.

For the formation energy, the calculation gives -64.1 kJ per mole of atoms. For the calculated density, the calculation gives 10.799 g cm⁻³.

The structure belongs to space group P-4m2 (No. 115); the cell edges are 4.214, 4.214 and 11.474 Å and the angles 90.00°, 90.00° and 90.00°. Symmetry generates all atoms from La at (0.000, 0.500, 0.237), Zn at (0.000, 0.000, 0.000), Zn at (0.000, 0.500, 0.640), Zn at (0.500, 0.500, 0.000), Hg at (0.000, 0.000, 0.500), Pt at (0.000, 0.500, 0.863) and Pt at (0.500, 0.500, 0.500).

***

22.
## PrCoCuGe2 (PBE)

Data for a relaxed PrCoCuGe2 crystal.

For the formation energy, the calculation gives -48.9 kJ per mole of atoms. For the calculated density, the calculation gives 7.732 g cm⁻³.

The structure belongs to space group I-4m2 (No. 119); the cell edges are 4.161, 4.161 and 10.140 Å and the angles 90.00°, 90.00° and 90.00°. Symmetry generates all atoms from Pr at (0.000, 0.000, 0.000), Co at (0.000, 0.500, 0.250), Cu at (0.000, 0.500, 0.750) and Ge at (0.000, 0.000, 0.371).

***

23.
## CoBPt2 (PBE)

Data for a relaxed CoBPt2 crystal.

For the formation energy, the calculation gives 3.6 kJ per mole of atoms. For the calculated density, the calculation gives 14.233 g cm⁻³.

The structure belongs to space group I-42d (No. 122); the cell edges are 6.606, 6.606 and 4.918 Å and the angles 90.00°, 90.00° and 90.00°. Symmetry generates all atoms from Co at (0.000, 0.000, 0.000), B at (0.000, 0.000, 0.500) and Pt at (0.162, 0.250, 0.625).

***

24.
## Cs2AuIBr6 (PBE)

Data for a relaxed Cs2AuIBr6 crystal.

The calculation puts the formation energy without anion corrections at -8.2 eV per formula unit. For the calculated density, the calculation gives 4.418 g cm⁻³.

The structure belongs to space group I4/mmm (No. 139); the cell edges are 8.129, 8.129 and 12.162 Å and the angles 90.00°, 90.00° and 90.00°. Symmetry generates all atoms from Cs at (0.000, 0.500, 0.250), Au at (0.000, 0.000, 0.000), I at (0.000, 0.000, 0.500), Br at (0.000, 0.000, 0.204) and Br at (0.242, 0.242, 0.500).